The following is a GGA-PBE calculation of a relaxed Cu3AgW crystal, from Alexandria.

Output
ρ: 7.69 g/cm3
DFT total energy: -20.316 eV per cell

a b c (Å): 4.7051 4.7051 4.7051
angles (deg): 90.00 90.00 90.00
With the nearest neighbours (Å) after each atom.
Space group Pm-3m (No. 221)
One atom of each set of equivalent atoms:
Cu  0.0000  0.0000  0.5000  2 W 2.35
Ag  0.5000  0.5000  0.5000  12 Cu 3.33
W  0.0000  0.0000  0.0000  6 Cu 2.35

The following is a GGA-PBE calculation of a relaxed CuAg2W crystal, from Alexandria.

Output
ρ: 11.84 g/cm3
DFT total energy: -20.339 eV per cell

a b c (Å): 2.7028 4.8347 4.9705
angles (deg): 90.00 90.00 90.00
With the nearest neighbours (Å) after each atom.
Space group Pmmm (No. 47)
One atom of each set of equivalent atoms:
Cu  0.0000  0.0000  0.0000  2 Cu 2.70, 4 W 2.77, 4 Ag 2.83
Ag  0.0000  0.5000  0.5000  6 Ag 2.70-2.77, 4 W 2.83
Ag  0.5000  0.0000  0.5000  6 Ag 2.70-2.77, 4 Cu 2.83
W  0.5000  0.5000  0.0000  2 W 2.70, 4 Cu 2.77, 4 Ag 2.83

The following is a GGA-PBE calculation of a relaxed Cu2AgW crystal, from Alexandria.

Output
ρ: 12.02 g/cm3
DFT total energy: -22.334 eV per cell

a b c (Å): 2.6344 4.2371 5.3445
angles (deg): 90.00 104.12 90.00
With the nearest neighbours (Å) after each atom.
Space group Pm (No. 6)
One atom of each set of equivalent atoms:
Cu  0.0000  0.0000  0.0000  4 Cu 2.54-2.63, 4 Ag 2.73-2.74, 3 W 2.75-2.76
Cu  0.1303  0.5000  0.2695  4 Cu 2.54-2.63, 1 Ag 2.66, 4 W 2.69-2.70
Ag  0.3897  0.5000  0.7826  2 Ag 2.63, 7 Cu 2.66-2.85
W  0.7297  0.0000  0.4668  2 W 2.63, 7 Cu 2.69-2.76

The following is a GGA-PBE calculation of a relaxed Cu2AgW crystal, from Alexandria.

Output
ρ: 11.89 g/cm3
DFT total energy: -22.203 eV per cell

a b c (Å): 4.7022 4.7022 2.6459
angles (deg): 90.00 90.00 90.00
With the nearest neighbours (Å) after each atom.
Space group P4/mmm (No. 123)
One atom of each set of equivalent atoms:
Cu  0.0000  0.5000  0.0000  2 Cu 2.65, 4 W 2.70, 4 Ag 2.70
Ag  0.0000  0.0000  0.5000  2 Ag 2.65, 8 Cu 2.70
W  0.5000  0.5000  0.5000  2 W 2.65, 8 Cu 2.70

The following is a GGA-PBE calculation of a relaxed CuAgW crystal, from Alexandria.

Output
ρ: 12.68 g/cm3
DFT total energy: -18.615 eV per cell

a b c (Å): 2.7685 2.7685 7.0104
angles (deg): 90.00 90.00 120.00
With the nearest neighbours (Å) after each atom.
Space group P3m1 (No. 156)
One atom of each set of equivalent atoms:
Cu  0.0000  0.0000  0.0000  3 W 2.71, 6 Cu 2.77, 3 Ag 2.79
Ag  0.6667  0.3333  0.6731  6 Ag 2.77, 3 Cu 2.79, 3 W 2.99
W  0.3333  0.6667  0.3124  3 Cu 2.71, 6 W 2.77, 3 Ag 2.99

The following is a GGA-PBE calculation of a relaxed Cu2AgW crystal, from Alexandria.

Output
ρ: 11.88 g/cm3
DFT total energy: -22.445 eV per cell

a b c (Å): 2.6505 3.7607 5.8750
angles (deg): 90.00 90.00 90.00
With the nearest neighbours (Å) after each atom.
Space group Pmmm (No. 47)
One atom of each set of equivalent atoms:
Cu  0.0000  0.0000  0.2307  3 Cu 2.65-2.71, 4 W 2.67, 4 Ag 2.79
Ag  0.5000  0.5000  0.5000  2 Ag 2.65, 8 Cu 2.79, 2 W 2.94
W  0.5000  0.5000  0.0000  2 W 2.65, 8 Cu 2.67, 2 Ag 2.94

The following is a GGA-PBE calculation of a relaxed CuAgW crystal, from Alexandria.

Output
ρ: 10.65 g/cm3
DFT total energy: -62.673 eV per cell

a b c (Å): 6.0511 6.0511 6.0511
angles (deg): 90.00 90.00 90.00
With the nearest neighbours (Å) after each atom.
Space group F-43m (No. 216)
One atom of each set of equivalent atoms:
Cu  0.0000  0.0000  0.0000  4 W 2.62
Ag  0.0000  0.0000  0.5000  4 W 2.62
W  0.2500  0.2500  0.2500  4 Ag 2.62, 4 Cu 2.62

The following is a GGA-PBE calculation of a relaxed Cu4AgW crystal, from Alexandria.

Output
ρ: 11.26 g/cm3
DFT total energy: -119.098 eV per cell

a b c (Å): 6.8539 6.8539 6.8539
angles (deg): 90.00 90.00 90.00
With the nearest neighbours (Å) after each atom.
Space group F-43m (No. 216)
One atom of each set of equivalent atoms:
Cu  0.1247  0.1247  0.1247  6 Cu 2.42-2.43
Ag  0.0000  0.0000  0.5000  12 Cu 2.84, 4 W 2.97
W  0.2500  0.2500  0.7500  12 Cu 2.84, 4 Ag 2.97